Record 1
Below is SnHg2B at its PBEsol-relaxed geometry, with properties calculated at the SCAN level.

a = 4.867 Å, b = 4.867 Å, c = 4.867 Å
α = 60.00°, β = 60.00°, γ = 60.00°
Fractional coordinates of all 4 atoms:
Sn: 0.000 0.000 0.000
Hg: 0.250 0.250 0.250
Hg: 0.750 0.750 0.750
B: 0.500 0.500 0.500

Calculated values
For the formation enthalpy at 0 K, the calculation gives 1.11 eV per atom. The total energy comes out at -43.811 eV per atom. For the magnetization, the calculation gives 0.00 μB per cell.



Record 2
Below is Zn2IrRh at its PBEsol-relaxed geometry, with properties calculated at the SCAN level.

a = 8.403 Å, b = 8.403 Å, c = 8.403 Å
α = 18.90°, β = 18.90°, γ = 18.90°
Fractional coordinates of all 4 atoms:
Zn: 0.249 0.249 0.249
Zn: 0.751 0.751 0.751
Ir: 0.000 0.000 0.000
Rh: 0.500 0.500 0.500

Calculated values
For the formation enthalpy at 0 K, the calculation gives -0.24 eV per atom. The total energy comes out at -33.219 eV per atom. For the magnetization, the calculation gives 0.00 μB per cell.



Record 3
Below is Si2NiRh at its PBEsol-relaxed geometry, with properties calculated at the SCAN level.

a = 4.109 Å, b = 4.109 Å, c = 2.846 Å
α = 90.00°, β = 90.00°, γ = 90.00°
Fractional coordinates of all 4 atoms:
Si: 0.000 0.500 0.000
Si: 0.500 0.000 0.000
Ni: 0.000 0.000 0.500
Rh: 0.500 0.500 0.500

Calculated values
The total energy comes out at -17.945 eV per atom. The raw formation energy comes out at -0.451 eV/atom. For the magnetization, the calculation gives 0.00 μB per cell.



Record 4
Below is MgCoTc2Cl at its PBEsol-relaxed geometry, with properties calculated at the SCAN level.

a = 4.328 Å, b = 4.328 Å, c = 4.027 Å
α = 90.00°, β = 90.00°, γ = 90.00°
Fractional coordinates of all 5 atoms:
Mg: 0.000 0.000 0.000
Co: 0.500 0.500 0.000
Tc: 0.000 0.500 0.500
Tc: 0.500 0.000 0.500
Cl: 0.500 0.500 0.500

Calculated values
The total energy comes out at -19.177 eV per atom. The raw formation energy comes out at 0.898 eV/atom. For the magnetization, the calculation gives 2.09 μB per cell.



Record 5
Below is SrMnAg2As at its PBEsol-relaxed geometry, with properties calculated at the SCAN level.

a = 4.865 Å, b = 4.865 Å, c = 5.810 Å
α = 90.00°, β = 90.00°, γ = 90.00°
Fractional coordinates of all 5 atoms:
Sr: 0.000 0.000 0.000
Mn: 0.500 0.500 0.000
Ag: 0.000 0.500 0.500
Ag: 0.500 0.000 0.500
As: 0.000 0.000 0.500

Calculated values
For the formation enthalpy at 0 K, the calculation gives 0.23 eV per atom. The total energy comes out at -24.462 eV per atom. For the magnetization, the calculation gives 4.36 μB per cell.



Record 6
Below is LiTaNi2 at its PBEsol-relaxed geometry, with properties calculated at the SCAN level.

a = 4.347 Å, b = 4.347 Å, c = 4.347 Å
α = 128.54°, β = 128.54°, γ = 75.76°
Fractional coordinates of all 4 atoms:
Li: 0.000 0.000 0.000
Ta: 0.500 0.500 0.000
Ni: 0.250 0.750 0.500
Ni: 0.750 0.250 0.500

Calculated values
For the formation enthalpy at 0 K, the calculation gives -0.09 eV per atom. The total energy comes out at -25.423 eV per atom. For the magnetization, the calculation gives 0.00 μB per cell.



Record 7
Below is AsIrPt2 at its PBEsol-relaxed geometry, with properties calculated at the SCAN level.

a = 4.913 Å, b = 4.913 Å, c = 4.913 Å
α = 133.85°, β = 133.85°, γ = 67.33°
Fractional coordinates of all 4 atoms:
As: 0.000 0.000 0.000
Ir: 0.500 0.500 0.000
Pt: 0.250 0.750 0.500
Pt: 0.750 0.250 0.500

Calculated values
For the formation enthalpy at 0 K, the calculation gives 0.27 eV per atom. The total energy comes out at -57.650 eV per atom. For the magnetization, the calculation gives 1.41 μB per cell.



Record 8
Below is ScAlTc2 at its PBEsol-relaxed geometry, with properties calculated at the SCAN level.

a = 5.267 Å, b = 5.267 Å, c = 5.267 Å
α = 145.66°, β = 131.16°, γ = 61.07°
Fractional coordinates of all 4 atoms:
Sc: 0.000 0.000 0.000
Al: 0.722 0.222 0.500
Tc: 0.254 0.754 0.500
Tc: 0.477 0.477 0.000

Calculated values
For the formation enthalpy at 0 K, the calculation gives -0.38 eV per atom. The total energy comes out at -23.411 eV per atom. For the relative energy among the computed polymorphs, the calculation gives 0.000 eV per atom. For the magnetization, the calculation gives 0.00 μB per cell.



Record 9
Below is Tc2IrW at its PBEsol-relaxed geometry, with properties calculated at the SCAN level.

a = 3.857 Å, b = 3.857 Å, c = 3.866 Å
α = 90.00°, β = 90.00°, γ = 90.00°
Fractional coordinates of all 4 atoms:
Tc: 0.000 0.500 0.000
Tc: 0.500 0.000 0.000
Ir: 0.000 0.000 0.500
W: 0.500 0.500 0.500

Calculated values
For the formation enthalpy at 0 K, the calculation gives -0.18 eV per atom. The total energy comes out at -52.911 eV per atom. For the relative energy among the computed polymorphs, the calculation gives 0.000 eV per atom. For the magnetization, the calculation gives 0.00 μB per cell.



Record 10
Below is YZrNi2N at its PBEsol-relaxed geometry, with properties calculated at the SCAN level.

a = 4.058 Å, b = 4.058 Å, c = 4.308 Å
α = 90.00°, β = 90.00°, γ = 90.00°
Fractional coordinates of all 5 atoms:
Y: 0.000 0.000 0.000
Zr: 0.500 0.500 0.000
Ni: 0.000 0.500 0.500
Ni: 0.500 0.000 0.500
N: 0.500 0.500 0.500

Calculated values
The total energy comes out at -20.277 eV per atom. The raw formation energy comes out at -0.241 eV/atom. For the magnetization, the calculation gives 0.00 μB per cell.



Record 11
Below is YTeOs2 at its PBEsol-relaxed geometry, with properties calculated at the SCAN level.

a = 4.701 Å, b = 4.701 Å, c = 4.701 Å
α = 60.00°, β = 60.00°, γ = 60.00°
Fractional coordinates of all 4 atoms:
Y: 0.000 0.000 0.000
Te: 0.250 0.250 0.250
Os: 0.500 0.500 0.500
Os: 0.750 0.750 0.750

Calculated values
The total energy comes out at -51.573 eV per atom. The raw formation energy comes out at 0.640 eV/atom. For the magnetization, the calculation gives 1.46 μB per cell.



Record 12
Below is V5Se4 at its PBEsol-relaxed geometry, with properties calculated at the SCAN level.

a = 6.702 Å, b = 6.702 Å, c = 6.702 Å
α = 93.41°, β = 93.41°, γ = 151.78°
Fractional coordinates of all 9 atoms:
V: 0.000 0.000 0.000
V: 0.306 0.620 0.926
V: 0.380 0.306 0.686
V: 0.620 0.694 0.314
V: 0.694 0.380 0.074
Se: 0.061 0.721 0.783
Se: 0.279 0.061 0.340
Se: 0.721 0.939 0.660
Se: 0.939 0.279 0.217

Calculated values
The total energy comes out at -19.339 eV per atom. The raw formation energy comes out at -0.700 eV/atom. For the magnetization, the calculation gives 0.00 μB per cell.